# 1
Material: Ta2TeCl
Method: DFT, PBE
State: optimized geometry

Cell: 5.0970 5.0970 5.0970 Å, 128.52 128.52 75.78°
Closest atoms and distances in Å follow each position.
Atoms (fractional coordinates):
1 Ta 0.2500 0.7500 0.5000  4 Ta 2.99, 4 Te 2.99, 4 Cl 3.13
2 Ta 0.0000 0.0000 0.0000  4 Ta 2.99, 4 Cl 2.99, 4 Te 3.13
3 Te 0.5000 0.5000 0.0000  8 Ta 2.99-3.13, 4 Cl 2.99
4 Cl 0.7500 0.2500 0.5000  4 Te 2.99, 8 Ta 2.99-3.13

Summary:
uncorrected formation energy	616	meV/atom
raw total energy	-26.2	eV/cell
E above lowest polymorph	0.773	eV per atom
SG	No. 119
magnetization	0.0	μB/f.u.



# 2
Material: TaTe2Cl
Method: DFT, PBE
State: optimized geometry

Cell: 5.0605 4.3240 4.3240 Å, 90.00 90.00 90.00°
Closest atoms and distances in Å follow each position.
Atoms (fractional coordinates):
1 Cl 0.5000 0.5000 0.0000  4 Ta 3.06, 8 Te 3.33
2 Te 0.0000 0.5000 0.5000  4 Te 3.06, 4 Cl 3.33, 4 Ta 3.33
3 Te 0.0000 0.0000 0.0000  4 Te 3.06, 4 Ta 3.33, 4 Cl 3.33
4 Ta 0.5000 0.0000 0.5000  4 Cl 3.06, 8 Te 3.33

Summary:
uncorrected formation energy	631	meV/atom
raw total energy	-17.5	eV/cell
E above lowest polymorph	1.120	eV per atom
SG	No. 123
magnetization	2.2	μB/f.u.



# 3
Material: TaTe2Cl
Method: DFT, PBE
State: optimized geometry

Cell: 8.1072 8.1072 8.1072 Å, 158.11 140.61 45.52°
Closest atoms and distances in Å follow each position.
Atoms (fractional coordinates):
1 Cl 0.3965 0.3965 0.0000  2 Ta 2.47
2 Te 0.7323 0.2323 0.5000  4 Te 3.08-3.34, 4 Ta 3.18
3 Te 0.1039 0.1039 0.0000  2 Ta 2.89, 2 Te 3.08
4 Ta 0.2672 0.7672 0.5000  2 Cl 2.47

Summary:
uncorrected formation energy	-151	meV/atom
raw total energy	-20.6	eV/cell
E above lowest polymorph	0.337	eV per atom
SG	No. 44
magnetization	0.0	μB/f.u.



# 4
Material: TaTeCl2
Method: DFT, PBE
State: optimized geometry

Cell: 4.8808 4.8808 4.8808 Å, 120.18 120.18 89.69°
Closest atoms and distances in Å follow each position.
Atoms (fractional coordinates):
1 Cl 0.0000 0.0000 0.0000  4 Cl 2.99, 4 Te 2.99
2 Cl 0.2500 0.7500 0.5000  4 Ta 2.99, 4 Cl 2.99
3 Ta 0.5000 0.5000 0.0000  4 Te 2.99, 4 Cl 2.99
4 Te 0.7500 0.2500 0.5000  4 Ta 2.99, 4 Cl 2.99

Summary:
uncorrected formation energy	111	meV/atom
raw total energy	-18.2	eV/cell
E above lowest polymorph	0.833	eV per atom
SG	No. 119
magnetization	1.0	μB/f.u.